A plane-wave DFT calculation with GGA+U was carried out for a relaxed structure of PmCo2RuO8.

Summary:
Density: 5.50 Mg/m³
Total moment: 2.69 μB per formula unit
Space-group type: No. 119
Calculated volume: 12.38 Å³/atom
E: -76.78 eV/f.u.

Cell: 5.7880 5.7880 5.7880 Å, 107.32 107.32 113.87°
Last column: nearest neighbours and their distance in Å.
Fractional coordinates of all 12 atoms:
O (0.9376, 0.2322, 0.2947)  1 Co 1.84, 1 Ru 2.06
O (0.2816, 0.1212, 0.8396)  1 Co 1.76
O (0.7678, 0.0624, 0.7053)  1 Co 1.84, 1 Ru 2.06
O (0.9376, 0.6429, 0.7053)  1 Co 1.84, 1 Ru 2.06
O (0.2816, 0.4421, 0.1604)  1 Co 1.76
O (0.8788, 0.7184, 0.1604)  1 Co 1.76
O (0.3571, 0.0624, 0.2947)  1 Co 1.84, 1 Ru 2.06
O (0.5579, 0.7184, 0.8396)  1 Co 1.76
Co (0.7500, 0.2500, 0.5000)  4 O 1.84
Co (0.5000, 0.5000, 0.0000)  4 O 1.76
Pm (0.2500, 0.7500, 0.5000)  8 O 2.34-2.42
Ru (0.0000, 0.0000, 0.0000)  8 O 2.06-2.09